# 1
Here is an optimized crystal structure of InRe2Ag from Alexandria. Energies are from PBE-GGA.

Structure (extended XYZ):
```
4
Lattice="2.9814 0.0000 0.0000 0.0000 2.9814 0.0000 0.0000 0.0000 7.9070" Properties=species:S:1:pos:R:3 pbc="T T T"
Ag 0.0000 0.0000 3.8502
Re 0.0000 0.0000 0.2562
Re 1.4907 1.4907 1.7234
In 1.4907 1.4907 6.0308
```

***

# 2
Here is an optimized crystal structure of In2ReAg from Alexandria. Energies are from PBE-GGA.

Structure (extended XYZ):
```
4
Lattice="2.8393 -0.1137 0.0000 -0.8680 2.7058 0.0000 0.0000 0.0000 10.8359" Properties=species:S:1:pos:R:3 pbc="T T T"
In 0.0000 0.0000 10.5424
In 0.9857 1.2960 3.1207
Ag 0.9857 1.2960 7.8759
Re 0.0000 0.0000 5.5508
```

***

# 3
Here is an optimized crystal structure of In2ReAg from Alexandria. Energies are from PBE-GGA.

Structure (extended XYZ):
```
4
Lattice="-1.2456 3.9728 -2.6420 -3.1611 3.7538 -0.4806 2.8395 3.9601 2.9177" Properties=species:S:1:pos:R:3 pbc="T T T"
In -0.7408 5.8463 -0.0641
In 2.7966 3.9571 2.8795
Re -1.1754 8.7650 -0.1536
Ag -0.3918 2.9217 -0.0512
```

***

# 4
Here is an optimized crystal structure of InRe2Ag from Alexandria. Energies are from PBE-GGA.

Structure (extended XYZ):
```
4
Lattice="3.1980 0.0000 0.0000 0.0000 3.1980 0.0000 0.0000 0.0000 6.5224" Properties=species:S:1:pos:R:3 pbc="T T T"
Re 0.0000 0.0000 0.0923
Ag 1.5990 1.5990 1.6306
Re 0.0000 0.0000 3.1689
In 1.5990 1.5990 4.8918
```

***

# 5
Here is an optimized crystal structure of InRe2Ag2 from Alexandria. Energies are from PBE-GGA.

Structure (extended XYZ):
```
5
Lattice="3.5938 0.0000 0.0000 0.0000 3.5938 0.0000 1.7969 1.7969 7.4549" Properties=species:S:1:pos:R:3 pbc="T T T"
Re 3.5938 1.7969 3.7274
Ag 3.5938 3.5938 5.9798
In 0.0000 0.0000 0.0000
Re 1.7969 3.5938 3.7274
Ag 1.7969 1.7969 1.4751
```

***

# 6
Here is an optimized crystal structure of In2ReAg from Alexandria. Energies are from PBE-GGA.

Structure (extended XYZ):
```
4
Lattice="-1.0299 -0.0489 4.9538 2.8114 -0.2994 0.5815 0.5128 5.1136 0.1571" Properties=species:S:1:pos:R:3 pbc="T T T"
In 0.0012 1.5763 2.6000
Ag 1.6564 3.9242 2.9673
In 0.8286 4.7243 0.2189
Re 1.9830 2.0612 0.4326
```

***

Number 1: calculated formation energy 6.30 kcal/mol of atoms, N(E_F) 1.553 states/eV/f.u.. Number 2: calculated formation energy 13.16 kcal/mol of atoms, N(E_F) 2.493 states/eV/f.u.. Number 3: calculated formation energy 11.97 kcal/mol of atoms, N(E_F) 2.284 states/eV/f.u.. Number 4: calculated formation energy 23.73 kcal/mol of atoms, N(E_F) 2.577 states/eV/f.u.. Number 5: calculated formation energy 16.18 kcal/mol of atoms, N(E_F) 2.731 states/eV/f.u.. Number 6: calculated formation energy 10.34 kcal/mol of atoms, N(E_F) 1.643 states/eV/f.u..